Cs2Cd3Sn2S8 PBE-GGA optimized geometry; E = -55.7 eV per cell
1.0
6.9027 0.0000 0.0000
-2.7032 7.7296 0.0000
-0.2588 -2.8624 8.6054
Cs Cd Sn S
2 3 2 8
Direct
0.1221 0.4575 0.2527
0.8779 0.5425 0.7473
0.3259 0.0540 0.3975
0.5000 0.0000 0.0000
0.6741 0.9460 0.6025
0.2490 0.1746 0.7746
0.7510 0.8254 0.2254
0.0919 0.8557 0.1505
0.2831 0.8831 0.6297
0.3252 0.3453 0.5942
0.4895 0.2959 0.0132
0.5105 0.7041 0.9868
0.6748 0.6547 0.4058
0.7169 0.1169 0.3703
0.9081 0.1443 0.8495

***

Cs2CdSn3S8 PBE-GGA optimized geometry; E = -229.1 eV per cell
1.0
7.8288 0.0000 0.0000
0.0000 12.8863 0.0000
0.0000 0.0000 18.1357
Cs Cd Sn S
8 4 12 32
Direct
0.2386 0.1925 0.1595
0.2462 0.1400 0.5556
0.2538 0.8600 0.0556
0.2614 0.8075 0.6595
0.7386 0.3075 0.8405
0.7462 0.3600 0.4444
0.7538 0.6400 0.9444
0.7614 0.6925 0.3405
0.0271 0.9968 0.3494
0.4729 0.0032 0.8494
0.5271 0.5032 0.6506
0.9729 0.4968 0.1506
0.0165 0.4807 0.6515
0.2306 0.4324 0.9840
0.2323 0.4520 0.3199
0.2677 0.5480 0.8199
0.2694 0.5676 0.4840
0.4835 0.5193 0.1515
0.5165 0.0193 0.3485
0.7306 0.0676 0.0160
0.7323 0.0480 0.6801
0.7677 0.9520 0.1801
0.7694 0.9324 0.5160
0.9835 0.9807 0.8485
0.0006 0.5967 0.7604
0.0072 0.6095 0.5501
0.0221 0.8855 0.2315
0.0294 0.8771 0.4629
0.2285 0.8720 0.8544
0.2301 0.6201 0.1558
0.2374 0.6164 0.9471
0.2367 0.6352 0.3580
0.2633 0.3648 0.8580
0.2626 0.3836 0.4471
0.2699 0.3799 0.6558
0.2715 0.1280 0.3544
0.4706 0.1229 0.9629
0.4779 0.1145 0.7315
0.4928 0.3905 0.0501
0.4994 0.4033 0.2604
0.5006 0.9033 0.2396
0.5072 0.8905 0.4499
0.5221 0.6145 0.7685
0.5294 0.6229 0.5371
0.7285 0.6280 0.1456
0.7301 0.8799 0.8442
0.7367 0.8648 0.6420
0.7374 0.8836 0.0529
0.7626 0.1164 0.5529
0.7633 0.1352 0.1420
0.7699 0.1201 0.3442
0.7715 0.3720 0.6456
0.9706 0.3771 0.0371
0.9779 0.3855 0.2685
0.9928 0.1095 0.9499
0.9994 0.0967 0.7396

***

CsCd2Sb2 PBE-GGA optimized geometry; E = -12.1 eV per cell
1.0
-2.4602 2.4602 6.7336
2.4602 -2.4602 6.7336
2.4602 2.4602 -6.7336
Cs Cd Sb
1 2 2
Direct
0.0000 0.0000 0.0000
0.2500 0.7500 0.5000
0.7500 0.2500 0.5000
0.3741 0.3741 0.0000
0.6259 0.6259 0.0000

***

CsScCd PBE-GGA optimized geometry; E = -5.7 eV per cell; total magnetization = 0.3465 μB/atom
1.0
0.0000 3.8839 3.8839
3.8839 0.0000 3.8839
3.8839 3.8839 0.0000
Cs Sc Cd
1 1 1
Direct
0.0000 0.0000 0.0000
0.7500 0.7500 0.7500
0.5000 0.5000 0.5000

***

CsScCdSe3 PBE-GGA optimized geometry; E = -51.0 eV per cell; total magnetization = 0.0001 μB/atom
1.0
8.9643 -2.0556 0.0000
8.9643 2.0556 0.0000
-1.7065 0.0000 9.3192
Cs Sc Cd Se
2 2 2 6
Direct
0.1542 0.1542 0.0562
0.8458 0.8458 0.9438
0.1730 0.1730 0.5693
0.8270 0.8270 0.4307
0.4945 0.4945 0.2839
0.5055 0.5055 0.7161
0.0000 0.0000 0.5000
0.3271 0.3271 0.6261
0.3402 0.3402 0.2518
0.5000 0.5000 0.0000
0.6598 0.6598 0.7482
0.6729 0.6729 0.3739

***

CsScCdSe3 PBE-GGA optimized geometry; E = -52.2 eV per cell; total magnetization = 0.0004 μB/atom
1.0
9.1983 0.0000 0.0000
0.0000 4.1556 0.0000
-4.1280 0.0000 9.8060
Cs Sc Cd Se
2 2 2 6
Direct
0.2370 0.2500 0.2541
0.7630 0.7500 0.7459
0.3313 0.7500 0.8749
0.6687 0.2500 0.1251
0.0826 0.2500 0.6167
0.9174 0.7500 0.3833
0.1264 0.2500 0.8740
0.2345 0.7500 0.5641
0.4796 0.7500 0.1410
0.5204 0.2500 0.8590
0.7655 0.2500 0.4359
0.8736 0.7500 0.1260

***

CsCdSe PBE-GGA optimized geometry; E = -15.3 eV per cell
1.0
5.9745 -2.2509 0.0000
5.9745 2.2509 0.0000
-4.7626 0.0000 7.6036
Cs Cd Se
2 2 2
Direct
0.0669 0.0669 0.3518
0.9331 0.9331 0.6482
0.3650 0.3650 0.9557
0.6350 0.6350 0.0443
0.2972 0.2972 0.2199
0.7028 0.7028 0.7801

***

Cs2CdSe2 PBE-GGA optimized geometry; E = -14.1 eV per cell
1.0
-3.4749 3.4749 7.0801
3.4749 -3.4749 7.0801
3.4749 3.4749 -7.0801
Cs Cd Se
2 1 2
Direct
0.2500 0.7500 0.5000
0.7500 0.2500 0.5000
0.0000 0.0000 0.0000
0.1726 0.1726 0.0000
0.8274 0.8274 0.0000